# PBE-GGA CaMn2Se, relaxed
data_CaMn2Se
_chemical_formula_sum 'Ca1 Mn2 Se1'
_cell_length_a 5.485
_cell_length_b 5.485
_cell_length_c 5.485
_cell_angle_alpha 140.59
_cell_angle_beta 129.44
_cell_angle_gamma 65.92
_space_group_name_H-M_alt 'P 1'
_space_group_IT_number 1
loop_
_space_group_symop_operation_xyz
'x,y,z'
loop_
_atom_site_label
_atom_site_fract_x
_atom_site_fract_y
_atom_site_fract_z
Ca1 0.271 0.771 0.500
Mn1 0.991 0.991 0.000
Mn2 0.711 0.211 0.500
Se1 0.527 0.527 0.000
# DFT total energy = -23.41 eV/cell
# Space-group type = Imm2



# PBE-GGA BaAl2Cd9, relaxed
data_BaAl2Cd9
_chemical_formula_sum 'Ba2 Al4 Cd18'
_cell_length_a 8.039
_cell_length_b 9.318
_cell_length_c 9.318
_cell_angle_alpha 79.28
_cell_angle_beta 64.45
_cell_angle_gamma 64.45
_space_group_name_H-M_alt 'P 1'
_space_group_IT_number 1
loop_
_space_group_symop_operation_xyz
'x,y,z'
loop_
_atom_site_label
_atom_site_fract_x
_atom_site_fract_y
_atom_site_fract_z
Ba1 0.500 0.000 0.000
Ba2 0.250 0.500 0.500
Al1 0.875 0.250 0.750
Al2 0.875 0.750 0.250
Al3 0.875 0.250 0.250
Al4 0.375 0.750 0.750
Cd1 0.750 0.500 0.500
Cd2 0.000 0.000 0.000
Cd3 0.002 0.921 0.677
Cd4 0.601 0.079 0.323
Cd5 0.674 0.177 0.579
Cd6 0.430 0.823 0.421
Cd7 0.748 0.823 0.579
Cd8 0.149 0.177 0.421
Cd9 0.076 0.921 0.323
Cd10 0.320 0.079 0.677
Cd11 0.748 0.579 0.823
Cd12 0.149 0.421 0.177
Cd13 0.076 0.323 0.921
Cd14 0.320 0.677 0.079
Cd15 0.002 0.677 0.921
Cd16 0.601 0.323 0.079
Cd17 0.674 0.579 0.177
Cd18 0.430 0.421 0.823
# DFT formation energy = -0.1085 eV per atom
# Space-group type = I4_1/amd



# PBE-GGA GdYBeGa, relaxed
data_GdYBeGa
_chemical_formula_sum 'Gd1 Y1 Be1 Ga1'
_cell_length_a 4.981
_cell_length_b 4.981
_cell_length_c 4.981
_cell_angle_alpha 60.00
_cell_angle_beta 60.00
_cell_angle_gamma 60.00
_space_group_name_H-M_alt 'P 1'
_space_group_IT_number 1
loop_
_space_group_symop_operation_xyz
'x,y,z'
loop_
_atom_site_label
_atom_site_fract_x
_atom_site_fract_y
_atom_site_fract_z
Y1 0.750 0.750 0.750
Be1 0.000 0.000 0.000
Gd1 0.250 0.250 0.250
Ga1 0.500 0.500 0.500
# DFT formation energy = -0.2398 eV per atom
# Space-group type = F-43m



# PBE-GGA AlPt2Rh, relaxed
data_AlPt2Rh
_chemical_formula_sum 'Al1 Pt2 Rh1'
_cell_length_a 4.399
_cell_length_b 4.399
_cell_length_c 4.401
_cell_angle_alpha 60.02
_cell_angle_beta 60.02
_cell_angle_gamma 60.00
_space_group_name_H-M_alt 'P 1'
_space_group_IT_number 1
loop_
_space_group_symop_operation_xyz
'x,y,z'
loop_
_atom_site_label
_atom_site_fract_x
_atom_site_fract_y
_atom_site_fract_z
Al1 0.750 0.750 0.750
Pt1 0.000 0.000 0.000
Pt2 0.250 0.250 0.250
Rh1 0.500 0.500 0.501
# DFT formation energy = -0.4522 eV per atom
# Space-group type = F-43m



# PBE-GGA AsWSe2N, relaxed
data_AsWSe2N
_chemical_formula_sum 'As1 W1 Se2 N1'
_cell_length_a 4.922
_cell_length_b 4.922
_cell_length_c 4.959
_cell_angle_alpha 90.00
_cell_angle_beta 90.00
_cell_angle_gamma 90.00
_space_group_name_H-M_alt 'P 1'
_space_group_IT_number 1
loop_
_space_group_symop_operation_xyz
'x,y,z'
loop_
_atom_site_label
_atom_site_fract_x
_atom_site_fract_y
_atom_site_fract_z
As1 0.000 0.000 0.500
Se1 0.000 0.500 0.000
Se2 0.500 0.000 0.000
W1 0.000 0.000 0.000
N1 0.500 0.500 0.500
# Space-group type = P4/mmm
# Offset from the most stable computed form = 900 meV/atom



# PBE-GGA LiEu2Y, relaxed
data_LiEu2Y
_chemical_formula_sum 'Li1 Eu2 Y1'
_cell_length_a 5.836
_cell_length_b 5.836
_cell_length_c 5.836
_cell_angle_alpha 60.00
_cell_angle_beta 60.00
_cell_angle_gamma 60.00
_space_group_name_H-M_alt 'P 1'
_space_group_IT_number 1
loop_
_space_group_symop_operation_xyz
'x,y,z'
loop_
_atom_site_label
_atom_site_fract_x
_atom_site_fract_y
_atom_site_fract_z
Eu1 0.250 0.250 0.250
Eu2 0.750 0.750 0.750
Y1 0.500 0.500 0.500
Li1 0.000 0.000 0.000
# DFT formation energy = 0.2137 eV per atom
# Space-group type = Fm-3m
# Offset from the most stable computed form = 117 meV/atom



# PBE-GGA Tb2NiAs4Ir3, relaxed
data_Tb2NiAs4Ir3
_chemical_formula_sum 'Tb2 Ni1 As4 Ir3'
_cell_length_a 4.247
_cell_length_b 4.247
_cell_length_c 9.981
_cell_angle_alpha 90.00
_cell_angle_beta 90.00
_cell_angle_gamma 90.00
_space_group_name_H-M_alt 'P 1'
_space_group_IT_number 1
loop_
_space_group_symop_operation_xyz
'x,y,z'
loop_
_atom_site_label
_atom_site_fract_x
_atom_site_fract_y
_atom_site_fract_z
Tb1 0.500 0.000 0.256
Tb2 0.000 0.500 0.744
Ni1 0.500 0.500 0.500
As1 0.500 0.500 0.000
As2 0.000 0.000 0.000
As3 0.500 0.000 0.631
As4 0.000 0.500 0.369
Ir1 0.000 0.000 0.500
Ir2 0.500 0.000 0.873
Ir3 0.000 0.500 0.127
# DFT formation energy = -0.6977 eV per atom
# Space-group type = P-4m2



# PBE-GGA Y2BiSe, relaxed
data_Y2BiSe
_chemical_formula_sum 'Y2 Bi1 Se1'
_cell_length_a 5.311
_cell_length_b 5.311
_cell_length_c 5.311
_cell_angle_alpha 60.00
_cell_angle_beta 60.00
_cell_angle_gamma 60.00
_space_group_name_H-M_alt 'P 1'
_space_group_IT_number 1
loop_
_space_group_symop_operation_xyz
'x,y,z'
loop_
_atom_site_label
_atom_site_fract_x
_atom_site_fract_y
_atom_site_fract_z
Y1 0.250 0.250 0.250
Y2 0.750 0.750 0.750
Bi1 0.500 0.500 0.500
Se1 0.000 0.000 0.000
# Space-group type = Fm-3m
# Offset from the most stable computed form = 307 meV/atom



# PBE-GGA Pm2Ge3PIr4, relaxed
data_Pm2Ge3PIr4
_chemical_formula_sum 'Pm2 Ge3 P1 Ir4'
_cell_length_a 4.273
_cell_length_b 4.273
_cell_length_c 9.943
_cell_angle_alpha 90.00
_cell_angle_beta 90.00
_cell_angle_gamma 90.00
_space_group_name_H-M_alt 'P 1'
_space_group_IT_number 1
loop_
_space_group_symop_operation_xyz
'x,y,z'
loop_
_atom_site_label
_atom_site_fract_x
_atom_site_fract_y
_atom_site_fract_z
Pm1 0.500 0.000 0.260
Pm2 0.000 0.500 0.740
Ge1 0.000 0.000 0.500
Ge2 0.500 0.000 0.866
Ge3 0.000 0.500 0.134
P1 0.500 0.500 0.500
Ir1 0.500 0.500 0.000
Ir2 0.000 0.000 0.000
Ir3 0.500 0.000 0.617
Ir4 0.000 0.500 0.383
# DFT formation energy = -0.8258 eV per atom
# Space-group type = P-4m2



# PBE-GGA Sm2CdPd6, relaxed
data_Sm2CdPd6
_chemical_formula_sum 'Sm2 Cd1 Pd6'
_cell_length_a 4.429
_cell_length_b 7.193
_cell_length_c 7.985
_cell_angle_alpha 116.77
_cell_angle_beta 123.68
_cell_angle_gamma 90.00
_space_group_name_H-M_alt 'P 1'
_space_group_IT_number 1
loop_
_space_group_symop_operation_xyz
'x,y,z'
loop_
_atom_site_label
_atom_site_fract_x
_atom_site_fract_y
_atom_site_fract_z
Sm1 0.054 0.777 0.553
Sm2 0.946 0.223 0.447
Cd1 0.000 0.000 0.000
Pd1 0.275 0.445 0.275
Pd2 0.725 0.170 0.725
Pd3 0.725 0.555 0.725
Pd4 0.500 0.288 0.000
Pd5 0.275 0.830 0.275
Pd6 0.500 0.712 0.000
# DFT formation energy = -0.5411 eV per atom
# Space-group type = Cmmm



# PBE-GGA NpGaCuRh, relaxed
data_NpGaCuRh
_chemical_formula_sum 'Np1 Ga1 Cu1 Rh1'
_cell_length_a 4.612
_cell_length_b 4.612
_cell_length_c 4.612
_cell_angle_alpha 60.00
_cell_angle_beta 60.00
_cell_angle_gamma 60.00
_space_group_name_H-M_alt 'P 1'
_space_group_IT_number 1
loop_
_space_group_symop_operation_xyz
'x,y,z'
loop_
_atom_site_label
_atom_site_fract_x
_atom_site_fract_y
_atom_site_fract_z
Np1 0.000 0.000 0.000
Rh1 0.750 0.750 0.750
Cu1 0.250 0.250 0.250
Ga1 0.500 0.500 0.500
# DFT formation energy = -0.1022 eV per atom
# Space-group type = F-43m



# PBE-GGA V2FeRh2, relaxed
data_V2FeRh2
_chemical_formula_sum 'V4 Fe2 Rh4'
_cell_length_a 7.153
_cell_length_b 7.153
_cell_length_c 2.787
_cell_angle_alpha 90.00
_cell_angle_beta 90.00
_cell_angle_gamma 90.00
_space_group_name_H-M_alt 'P 1'
_space_group_IT_number 1
loop_
_space_group_symop_operation_xyz
'x,y,z'
loop_
_atom_site_label
_atom_site_fract_x
_atom_site_fract_y
_atom_site_fract_z
Rh1 0.365 0.865 0.000
Rh2 0.865 0.635 0.000
Rh3 0.635 0.135 0.000
Rh4 0.135 0.365 0.000
Fe1 0.000 0.000 0.000
Fe2 0.500 0.500 0.000
V1 0.166 0.666 0.500
V2 0.666 0.834 0.500
V3 0.834 0.334 0.500
V4 0.334 0.166 0.500
# DFT formation energy = -0.0739 eV per atom
# Space-group type = P4/mbm



# PBE-GGA Pa2Co3As4Rh, relaxed
data_Pa2Co3As4Rh
_chemical_formula_sum 'Pa2 Co3 As4 Rh1'
_cell_length_a 4.188
_cell_length_b 4.188
_cell_length_c 9.278
_cell_angle_alpha 90.00
_cell_angle_beta 90.00
_cell_angle_gamma 90.00
_space_group_name_H-M_alt 'P 1'
_space_group_IT_number 1
loop_
_space_group_symop_operation_xyz
'x,y,z'
loop_
_atom_site_label
_atom_site_fract_x
_atom_site_fract_y
_atom_site_fract_z
Pa1 0.500 0.000 0.247
Pa2 0.000 0.500 0.753
Co1 0.000 0.000 0.500
Co2 0.500 0.000 0.889
Co3 0.000 0.500 0.111
As1 0.500 0.500 0.000
As2 0.000 0.000 0.000
As3 0.500 0.000 0.643
As4 0.000 0.500 0.357
Rh1 0.500 0.500 0.500
# DFT formation energy = -0.7133 eV per atom
# Space-group type = P-4m2



# PBE-GGA Ac3Bi4O12, relaxed
data_Ac3Bi4O12
_chemical_formula_sum 'Ac3 Bi4 O12'
_cell_length_a 7.608
_cell_length_b 7.608
_cell_length_c 7.608
_cell_angle_alpha 109.47
_cell_angle_beta 109.47
_cell_angle_gamma 109.47
_space_group_name_H-M_alt 'P 1'
_space_group_IT_number 1
loop_
_space_group_symop_operation_xyz
'x,y,z'
loop_
_atom_site_label
_atom_site_fract_x
_atom_site_fract_y
_atom_site_fract_z
Ac1 0.500 0.500 0.000
Ac2 0.000 0.500 0.500
Ac3 0.500 0.000 0.500
Bi1 0.500 0.500 0.500
Bi2 0.500 0.000 0.000
Bi3 0.000 0.000 0.500
Bi4 0.000 0.500 0.000
O1 0.221 0.689 0.910
O2 0.779 0.311 0.090
O3 0.221 0.311 0.532
O4 0.311 0.090 0.779
O5 0.910 0.221 0.689
O6 0.468 0.779 0.689
O7 0.689 0.468 0.779
O8 0.090 0.779 0.311
O9 0.779 0.689 0.468
O10 0.689 0.910 0.221
O11 0.532 0.221 0.311
O12 0.311 0.532 0.221
# DFT total energy = -124.28 eV/cell
# Space-group type = Im-3



# PBE-GGA Ce3Nd3ErTe8, relaxed
data_Ce3Nd3ErTe8
_chemical_formula_sum 'Ce3 Nd3 Er1 Te8'
_cell_length_a 8.949
_cell_length_b 8.949
_cell_length_c 8.962
_cell_angle_alpha 119.95
_cell_angle_beta 90.00
_cell_angle_gamma 120.00
_space_group_name_H-M_alt 'P 1'
_space_group_IT_number 1
loop_
_space_group_symop_operation_xyz
'x,y,z'
loop_
_atom_site_label
_atom_site_fract_x
_atom_site_fract_y
_atom_site_fract_z
Ce1 0.500 0.000 0.500
Ce2 0.500 0.500 0.500
Ce3 0.000 0.500 0.500
Nd1 0.000 0.000 0.000
Nd2 0.000 0.500 0.000
Nd3 0.500 0.500 0.000
Er1 0.000 0.000 0.500
Te1 0.250 0.500 0.250
Te2 0.750 0.500 0.750
Te3 0.753 0.506 0.253
Te4 0.247 0.494 0.747
Te5 0.753 0.000 0.253
Te6 0.247 0.000 0.747
Te7 0.247 0.000 0.253
Te8 0.753 0.000 0.747
# DFT total energy = -83.03 eV/cell
# Space-group type = R-3m



# PBE-GGA TbTe, relaxed
data_TbTe
_chemical_formula_sum 'Tb2 Te2'
_cell_length_a 3.900
_cell_length_b 5.069
_cell_length_c 6.090
_cell_angle_alpha 90.00
_cell_angle_beta 108.63
_cell_angle_gamma 90.00
_space_group_name_H-M_alt 'P 1'
_space_group_IT_number 1
loop_
_space_group_symop_operation_xyz
'x,y,z'
loop_
_atom_site_label
_atom_site_fract_x
_atom_site_fract_y
_atom_site_fract_z
Te1 0.607 0.250 0.224
Te2 0.393 0.750 0.776
Tb1 0.885 0.250 0.764
Tb2 0.115 0.750 0.236
# DFT total energy = -20.28 eV/cell
# Space-group type = P2_1/m



# PBE-GGA ZnCuIr2, relaxed
data_ZnCuIr2
_chemical_formula_sum 'Zn1 Cu1 Ir2'
_cell_length_a 4.662
_cell_length_b 4.662
_cell_length_c 4.604
_cell_angle_alpha 80.41
_cell_angle_beta 80.41
_cell_angle_gamma 34.52
_space_group_name_H-M_alt 'P 1'
_space_group_IT_number 1
loop_
_space_group_symop_operation_xyz
'x,y,z'
loop_
_atom_site_label
_atom_site_fract_x
_atom_site_fract_y
_atom_site_fract_z
Zn1 0.498 0.498 0.479
Ir1 0.003 0.003 0.981
Ir2 0.746 0.746 0.773
Cu1 0.252 0.252 0.267
# DFT formation energy = -0.0070 eV per atom
# Space-group type = Cm



# PBE-GGA Dy2HoPt, relaxed
data_Dy2HoPt
_chemical_formula_sum 'Dy4 Ho2 Pt2'
_cell_length_a 3.778
_cell_length_b 6.328
_cell_length_c 9.448
_cell_angle_alpha 90.00
_cell_angle_beta 90.00
_cell_angle_gamma 107.38
_space_group_name_H-M_alt 'P 1'
_space_group_IT_number 1
loop_
_space_group_symop_operation_xyz
'x,y,z'
loop_
_atom_site_label
_atom_site_fract_x
_atom_site_fract_y
_atom_site_fract_z
Dy1 0.137 0.272 0.436
Dy2 0.863 0.728 0.564
Dy3 0.863 0.728 0.936
Dy4 0.137 0.272 0.064
Ho1 0.428 0.857 0.250
Ho2 0.572 0.143 0.750
Pt1 0.741 0.481 0.250
Pt2 0.259 0.519 0.750
# DFT formation energy = -0.6805 eV per atom
# Space-group type = Cmcm
# Offset from the most stable computed form = 40 meV/atom



# PBE-GGA La2Re2BC2, relaxed
data_La2Re2BC2
_chemical_formula_sum 'La2 Re2 B1 C2'
_cell_length_a 3.540
_cell_length_b 5.929
_cell_length_c 6.332
_cell_angle_alpha 69.20
_cell_angle_beta 73.77
_cell_angle_gamma 72.63
_space_group_name_H-M_alt 'P 1'
_space_group_IT_number 1
loop_
_space_group_symop_operation_xyz
'x,y,z'
loop_
_atom_site_label
_atom_site_fract_x
_atom_site_fract_y
_atom_site_fract_z
La1 0.567 0.208 0.659
La2 0.433 0.792 0.341
Re1 0.205 0.686 0.904
Re2 0.795 0.314 0.096
B1 0.000 0.000 0.000
C1 0.187 0.388 0.237
C2 0.813 0.612 0.763
# DFT formation energy = -0.0932 eV per atom
# Space-group type = C2/m